[1]
PrN: relaxed, PBE.

Cell and atoms, written as CIF:
```
data_PrN
_cell_length_a 3.5428
_cell_length_b 3.5428
_cell_length_c 3.2201
_cell_angle_alpha 90.00
_cell_angle_beta 90.00
_cell_angle_gamma 120.00
_symmetry_space_group_name_H-M 'P -6 m 2'
_symmetry_Int_Tables_number 187
_symmetry_space_group_name_Hall 'P -6 2'
loop_
_atom_site_label
_atom_site_type_symbol
_atom_site_fract_x
_atom_site_fract_y
_atom_site_fract_z
Pr1 Pr 0.0000 0.0000 0.0000
N1 N 0.6667 0.3333 0.5000
```

## Properties
* total magnetic moment: 0.00 μB/cell
* total energy: -0.5501 Ry per atom
* E_form (uncorrected): -90 kJ/mol of atoms
* Fermi-level density of states: 0.25 states/eV/f.u.

[2]
PrN4: relaxed, PBE.

Cell and atoms, written as CIF:
```
data_PrN4
_cell_length_a 4.895
_cell_length_b 4.895
_cell_length_c 4.895
_cell_angle_alpha 90.00
_cell_angle_beta 90.00
_cell_angle_gamma 90.00
_symmetry_space_group_name_H-M 'P m -3 m'
_symmetry_Int_Tables_number 221
_symmetry_space_group_name_Hall '-P 4 2 3'
loop_
_atom_site_label
_atom_site_type_symbol
_atom_site_fract_x
_atom_site_fract_y
_atom_site_fract_z
Pr1 Pr 0.000 0.000 0.000
N1 N 0.000 0.000 0.500
N2 N 0.500 0.500 0.500
```

## Properties
* polymorph energy (0 for the lowest one): 1432.3 kJ/mol of formula units
* total magnetic moment: 9.00 μB/cell
* total energy: -0.3671 Ry per atom
* E_form (uncorrected): 253 kJ/mol of atoms
* Fermi-level density of states: 2.91 states/eV/f.u.

[3]
Pr3N: relaxed, PBE.

Cell and atoms, written as CIF:
```
data_Pr3N
_cell_length_a 3.382
_cell_length_b 10.397
_cell_length_c 6.253
_cell_angle_alpha 90.00
_cell_angle_beta 90.00
_cell_angle_gamma 90.00
_symmetry_space_group_name_H-M 'I m m 2'
_symmetry_Int_Tables_number 44
_symmetry_space_group_name_Hall 'I 2 -2'
loop_
_atom_site_label
_atom_site_type_symbol
_atom_site_fract_x
_atom_site_fract_y
_atom_site_fract_z
Pr1 Pr 0.000 0.000 0.000
Pr2 Pr 0.000 0.160 0.472
N1 N 0.000 0.500 0.786
```

## Properties
* polymorph energy (0 for the lowest one): 75.8 kJ/mol of formula units
* total magnetic moment: 0.00 μB/cell
* total energy: -0.4412 Ry per atom
* E_form (uncorrected): -32 kJ/mol of atoms
* Fermi-level density of states: 5.76 states/eV/f.u.

[4]
PrN: relaxed, PBE.

Cell and atoms, written as CIF:
```
data_PrN
_cell_length_a 5.221
_cell_length_b 5.221
_cell_length_c 5.221
_cell_angle_alpha 90.00
_cell_angle_beta 90.00
_cell_angle_gamma 90.00
_symmetry_space_group_name_H-M 'F m -3 m'
_symmetry_Int_Tables_number 225
_symmetry_space_group_name_Hall '-F 4 2 3'
loop_
_atom_site_label
_atom_site_type_symbol
_atom_site_fract_x
_atom_site_fract_y
_atom_site_fract_z
Pr1 Pr 0.000 0.000 0.000
N1 N 0.000 0.000 0.500
```

## Properties
* total magnetic moment: 0.00 μB/cell
* total energy: -0.5762 Ry per atom
* E_form (uncorrected): -124 kJ/mol of atoms
* Fermi-level density of states: 0.37 states/eV/f.u.

[5]
Pr2PtN: relaxed, PBE.

Cell and atoms, written as CIF:
```
data_Pr2PtN
_cell_length_a 3.345
_cell_length_b 3.345
_cell_length_c 7.013
_cell_angle_alpha 90.00
_cell_angle_beta 90.00
_cell_angle_gamma 90.00
_symmetry_space_group_name_H-M 'P 4/m m m'
_symmetry_Int_Tables_number 123
_symmetry_space_group_name_Hall '-P 4 2'
loop_
_atom_site_label
_atom_site_type_symbol
_atom_site_fract_x
_atom_site_fract_y
_atom_site_fract_z
Pr1 Pr 0.000 0.000 0.217
Pt1 Pt 0.500 0.500 0.500
N1 N 0.500 0.500 0.000
```

## Properties
* polymorph energy (0 for the lowest one): 126.6 kJ/mol of formula units
* total magnetic moment: 0.00 μB/cell
* total energy: -0.4888 Ry per atom
* E_form (uncorrected): -65 kJ/mol of atoms
* Fermi-level density of states: 2.25 states/eV/f.u.

[6]
Pr2PtN: relaxed, PBE.

Cell and atoms, written as CIF:
```
data_Pr2PtN
_cell_length_a 3.7952
_cell_length_b 3.7952
_cell_length_c 20.9739
_cell_angle_alpha 90.00
_cell_angle_beta 90.00
_cell_angle_gamma 120.00
_symmetry_space_group_name_H-M 'R -3 m'
_symmetry_Int_Tables_number 166
_symmetry_space_group_name_Hall '-R 3 2"'
loop_
_atom_site_label
_atom_site_type_symbol
_atom_site_fract_x
_atom_site_fract_y
_atom_site_fract_z
Pr1 Pr 0.0000 0.0000 0.2359
Pt1 Pt 0.0000 0.0000 0.0000
N1 N 0.0000 0.0000 0.5000
```

## Properties
* polymorph energy (0 for the lowest one): 0.0 kJ/mol of formula units
* total magnetic moment: 0.00 μB/cell
* total energy: -0.5130 Ry per atom
* E_form (uncorrected): -96 kJ/mol of atoms
* Fermi-level density of states: 2.28 states/eV/f.u.